Entry 1:
A plane-wave DFT calculation with GGA-PBE was carried out for a geometry-optimized BeAl3S structure.

Lattice parameters (Å, degrees): 4.398 4.398 4.398 90.00 90.00 90.00
Sites, in units of the cell vectors:
1 Be 0.000 0.000 0.000
2 Al 0.500 0.000 0.000
3 Al 0.000 0.500 0.000
4 Al 0.000 0.000 0.500
5 S 0.500 0.500 0.500

Results
Formation energy (no corrections) in eV/f.u.: 0.96
Total magnetic moment in μB per formula unit: 0.0
Electronic total energy in eV/atom: -3.6235
Calculated volume in Å³/atom: 17.0



Entry 2:
A plane-wave DFT calculation with GGA-PBE was carried out for a geometry-optimized Nd2Sm3YHo6 structure.

Lattice parameters (Å, degrees): 6.207 6.207 11.818 95.00 95.00 119.98
Sites, in units of the cell vectors:
1 Ho 0.751 0.751 0.251
2 Ho 0.417 0.084 0.251
3 Sm 0.167 0.833 0.500
4 Sm 0.500 0.500 0.500
5 Ho 0.583 0.916 0.749
6 Y 0.000 0.000 0.000
7 Ho 0.249 0.249 0.749
8 Nd 0.666 0.334 0.000
9 Sm 0.833 0.167 0.500
10 Nd 0.334 0.666 0.000
11 Ho 0.084 0.417 0.251
12 Ho 0.916 0.583 0.749

Results
Total magnetic moment in μB per formula unit: 0.0
Electronic total energy in eV/atom: -4.7868
Calculated volume in Å³/atom: 32.4
Calculated formation energy in meV/atom: 15



Entry 3:
A plane-wave DFT calculation with GGA-PBE was carried out for a geometry-optimized Cs3In3Sn8 structure.

Lattice parameters (Å, degrees): 4.638 10.111 12.593 62.49 79.39 76.74
Sites, in units of the cell vectors:
1 Sn 0.848 0.426 0.879
2 Sn 0.543 0.650 0.264
3 In 0.000 0.500 0.500
4 Sn 0.883 0.827 0.407
5 Sn 0.395 0.959 0.251
6 Sn 0.117 0.173 0.593
7 Sn 0.605 0.041 0.749
8 Sn 0.152 0.574 0.121
9 Sn 0.457 0.350 0.736
10 In 0.682 0.688 0.948
11 Cs 0.000 0.000 0.000
12 Cs 0.286 0.760 0.667
13 In 0.318 0.312 0.052
14 Cs 0.714 0.240 0.333

Results
Total magnetic moment in μB per formula unit: 0.0
Electronic total energy in eV/atom: -3.1592
Calculated volume in Å³/atom: 36.3
Calculated formation energy in meV/atom: -102



Entry 4:
A plane-wave DFT calculation with GGA-PBE was carried out for a geometry-optimized Er3Ga7Fe2 structure.

Lattice parameters (Å, degrees): 4.510 4.499 11.360 101.42 90.00 90.00
Site moments in Bohr magnetons follow the coordinates.
Sites, in units of the cell vectors:
1 Ga 0.500 0.906 0.812  -0.03
2 Er 0.500 0.315 0.630  0.00
3 Ga 0.000 0.216 0.431  -0.02
4 Ga 0.000 0.405 0.811  -0.04
5 Er 0.500 0.500 0.000  0.17
6 Ga 0.000 0.784 0.569  -0.02
7 Er 0.500 0.685 0.370  0.00
8 Ga 0.000 0.000 0.000  -0.02
9 Fe 0.000 0.106 0.213  1.08
10 Ga 0.000 0.595 0.189  -0.04
11 Fe 0.000 0.894 0.787  1.08
12 Ga 0.500 0.094 0.188  -0.03

Results
Total magnetic moment in μB per formula unit: 2.2
Electronic total energy in eV/atom: -4.6902
Calculated volume in Å³/atom: 18.8
Calculated formation energy in meV/atom: -373



Entry 5:
A plane-wave DFT calculation with GGA-PBE was carried out for a geometry-optimized CdP structure.

Lattice parameters (Å, degrees): 3.211 4.636 6.529 108.82 102.26 96.59
Sites, in units of the cell vectors:
1 Cd 0.196 0.187 0.379
2 P 0.224 0.343 0.001
3 Cd 0.804 0.813 0.621
4 P 0.776 0.657 0.999

Results
Total magnetic moment in μB per formula unit: 0.0
Electronic total energy in eV/atom: -3.0989
Calculated volume in Å³/atom: 22.0
Calculated formation energy in meV/atom: 64



Entry 6:
A plane-wave DFT calculation with GGA-PBE was carried out for a geometry-optimized Ac2EuNi structure.

Lattice parameters (Å, degrees): 3.780 3.780 9.658 90.00 90.00 90.00
Site moments in Bohr magnetons follow the coordinates.
Sites, in units of the cell vectors:
1 Ni 0.500 0.500 0.000  0.10
2 Ac 0.000 0.000 0.181  0.07
3 Eu 0.500 0.500 0.500  7.03
4 Ac 0.000 0.000 0.819  0.07

Results
Total magnetic moment in μB per formula unit: 8.1
Electronic total energy in eV/atom: -6.1065
Calculated volume in Å³/atom: 34.5
Calculated formation energy in meV/atom: -38